Entry from Alexandria via LeMat-Bulk: a relaxed Na3CoBr crystal (GGA-PBE).

Cell lengths 5.4880, 5.4880, 5.4880 Å; angles 90.00, 90.00, 90.00 degrees
Last column: nearest neighbours and their distance in Å.
Fractional positions:
Na  0.0000  0.0000  0.5000  2 Co 2.74
Na  0.0000  0.5000  0.0000  2 Co 2.74
Na  0.5000  0.0000  0.0000  2 Co 2.74
Co  0.0000  0.0000  0.0000  6 Na 2.74
Br  0.5000  0.5000  0.5000  12 Na 3.88

Computed properties:
The total energy comes out at -2.261 eV/atom. Its calculated volume is 165.29 Å³/cell. The total moment is 1.3 Bohr magnetons per cell.